Density functional theory data (GGA-PBEsol) for crystalline MnZnAu2 at its relaxed geometry.

Properties
The electronic total energy is -19.45 eV for the cell shown. Its density of states at the Fermi level is 0.49 states/eV/atom. As for the formation energy: -0.06 eV/atom.

Geometry as POSCAR:
```
MnZnAu2
1.0
3.917 0.000 0.000
0.000 3.917 0.000
-1.958 -1.958 3.999
Zn Mn Au
1 1 2
direct
0.750 0.250 0.500
0.000 0.000 0.000
0.500 0.500 0.000
0.250 0.750 0.500
```

=====

Density functional theory data (GGA-PBEsol) for crystalline Cu2HgTePd at its relaxed geometry.

Properties
The electronic total energy is -14.03 eV for the cell shown. Its density of states at the Fermi level is 0.43 states/eV/atom.

Geometry as POSCAR:
```
Cu2HgTePd
1.0
-2.228 2.423 -3.242
-3.962 -2.062 1.182
-1.017 4.121 3.778
Te Hg Pd Cu
1 1 1 2
direct
0.000 0.000 0.000
0.000 0.000 0.500
0.500 0.500 0.500
0.000 0.500 0.000
0.500 0.000 0.000
```

=====

Density functional theory data (GGA-PBEsol) for crystalline SiTe2SeI at its relaxed geometry.

Properties
The electronic total energy is -14.52 eV for the cell shown. Its density of states at the Fermi level is 0.71 states/eV/atom.

Geometry as POSCAR:
```
SiTe2SeI
1.0
-4.343 1.922 -2.689
-2.040 -5.052 -0.317
-2.551 0.738 4.647
I Si Te Se
1 1 2 1
direct
0.000 0.000 0.500
0.500 0.500 0.500
0.000 0.500 0.000
0.500 0.000 0.000
0.000 0.000 0.000
```

=====

Density functional theory data (GGA-PBEsol) for crystalline CdSe3 at its relaxed geometry.

Properties
The electronic total energy is -11.38 eV for the cell shown. Its density of states at the Fermi level is 0.71 states/eV/atom.

Geometry as POSCAR:
```
CdSe3
1.0
-3.357 0.958 2.600
0.830 -3.549 2.379
2.644 2.331 2.555
Cd Se
1 3
direct
0.000 0.000 0.000
0.000 0.500 0.500
0.500 0.000 0.500
0.500 0.500 0.000
```

=====

Density functional theory data (GGA-PBEsol) for crystalline Ta2BePd2 at its relaxed geometry.

Properties
The electronic total energy is -38.36 eV for the cell shown. Its density of states at the Fermi level is 1.41 states/eV/atom. As for the formation energy: 0.53 eV/atom.

Geometry as POSCAR:
```
Ta2BePd2
1.0
3.506 0.000 0.000
0.000 3.506 0.000
-1.753 -1.753 6.763
Be Pd Ta
1 2 2
direct
0.000 0.000 0.000
0.250 0.750 0.500
0.750 0.250 0.500
0.404 0.404 0.807
0.596 0.596 0.193
```

=====

Density functional theory data (GGA-PBEsol) for crystalline ZnSnP14 at its relaxed geometry.

Properties
The electronic total energy is -350.61 eV for the cell shown. As for the formation energy: -0.05 eV/atom.

Geometry as POSCAR:
```
ZnSnP14
1.0
-7.503 6.107 -1.426
1.265 -0.806 -10.108
-7.779 -9.606 -0.208
Zn Sn P
4 4 56
direct
0.250 0.491 0.678
0.250 0.009 0.178
0.750 0.509 0.322
0.750 0.991 0.822
0.250 0.904 0.823
0.250 0.596 0.323
0.750 0.096 0.177
0.750 0.404 0.677
0.250 0.655 0.535
0.250 0.845 0.035
0.750 0.345 0.465
0.750 0.155 0.965
0.250 0.281 0.935
0.250 0.219 0.435
0.750 0.719 0.065
0.750 0.781 0.565
0.250 0.090 0.580
0.250 0.410 0.080
0.750 0.910 0.420
0.750 0.590 0.920
0.250 0.640 0.826
0.250 0.860 0.326
0.750 0.360 0.174
0.750 0.140 0.674
0.077 0.146 0.966
0.423 0.354 0.466
0.577 0.854 0.034
0.923 0.646 0.534
0.923 0.854 0.034
0.577 0.646 0.534
0.423 0.146 0.966
0.077 0.354 0.466
0.083 0.791 0.576
0.417 0.709 0.076
0.583 0.209 0.424
0.917 0.291 0.924
0.917 0.209 0.424
0.583 0.291 0.924
0.417 0.791 0.576
0.083 0.709 0.076
0.080 0.574 0.930
0.420 0.926 0.430
0.580 0.426 0.070
0.920 0.074 0.570
0.920 0.426 0.070
0.580 0.074 0.570
0.420 0.574 0.930
0.080 0.926 0.430
0.077 0.159 0.680
0.423 0.341 0.180
0.577 0.841 0.320
0.923 0.659 0.820
0.923 0.841 0.320
0.577 0.659 0.820
0.423 0.159 0.680
0.077 0.341 0.180
0.048 0.367 0.642
0.452 0.133 0.142
0.548 0.633 0.358
0.952 0.867 0.858
0.952 0.633 0.358
0.548 0.867 0.858
0.452 0.367 0.642
0.048 0.133 0.142
```

=====

Density functional theory data (GGA-PBEsol) for crystalline B3SeCl at its relaxed geometry.

Properties
The electronic total energy is -15.77 eV for the cell shown. Its density of states at the Fermi level is 0.28 states/eV/atom.

Geometry as POSCAR:
```
B3SeCl
1.0
-1.062 -0.105 -3.774
-2.268 -3.115 0.725
-3.017 2.379 0.783
B Se Cl
3 1 1
direct
0.000 0.500 0.000
0.000 0.000 0.500
0.500 0.000 0.000
0.500 0.500 0.500
0.000 0.000 0.000
```

=====

Density functional theory data (GGA-PBEsol) for crystalline NaTmS2 at its relaxed geometry.

Properties
The electronic total energy is -22.59 eV for the cell shown. Its density of states at the Fermi level is 0.00 states/eV/atom.

Geometry as POSCAR:
```
NaTmS2
1.0
3.878 0.000 0.000
1.939 3.358 0.000
1.939 1.119 6.583
Na S Tm
1 2 1
direct
0.500 0.500 0.500
0.742 0.742 0.775
0.258 0.258 0.225
0.000 0.000 0.000
```

=====

Density functional theory data (GGA-PBEsol) for crystalline TeI2BrCl at its relaxed geometry.

Properties
The electronic total energy is -7.82 eV for the cell shown. Its density of states at the Fermi level is 1.55 states/eV/atom.

Geometry as POSCAR:
```
TeI2BrCl
1.0
5.662 0.000 0.000
0.000 5.662 0.000
0.000 0.000 5.620
I Te Br Cl
2 1 1 1
direct
0.000 0.500 0.000
0.500 0.000 0.000
0.000 0.000 0.500
0.000 0.000 0.000
0.500 0.500 0.500
```

=====

Density functional theory data (GGA-PBEsol) for crystalline SbPb2Cl at its relaxed geometry.

Properties
The electronic total energy is -15.10 eV for the cell shown. Its density of states at the Fermi level is 0.49 states/eV/atom. The energy above the most stable polymorph in this dataset comes out at 0.254 eV per atom.

Geometry as POSCAR:
```
SbPb2Cl
1.0
-4.671 0.431 -2.446
-2.912 -4.320 -0.922
-4.481 -0.794 2.697
Pb Sb Cl
2 1 1
direct
0.000 0.000 0.000
0.750 0.750 0.750
0.250 0.250 0.250
0.500 0.500 0.500
```

=====

Density functional theory data (GGA-PBEsol) for crystalline K2TcBr at its relaxed geometry.

Properties
The electronic total energy is -12.53 eV for the cell shown. Its density of states at the Fermi level is 0.71 states/eV/atom. The energy above the most stable polymorph in this dataset comes out at 0.258 eV per atom.

Geometry as POSCAR:
```
K2TcBr
1.0
-1.419 -1.705 4.096
-1.426 -3.898 -2.116
6.976 0.292 -0.111
Br K Tc
1 2 1
direct
0.250 0.750 0.500
0.000 0.000 0.000
0.750 0.250 0.500
0.500 0.500 0.000
```

=====

Density functional theory data (GGA-PBEsol) for crystalline SmRh3 at its relaxed geometry.

Properties
The electronic total energy is -189.14 eV for the cell shown. Its density of states at the Fermi level is 0.90 states/eV/atom. As for the formation energy: -0.50 eV/atom.

Geometry as POSCAR:
```
SmRh3
1.0
-3.105 -2.512 -3.363
4.628 -2.037 1.301
-7.419 -8.449 13.159
Sm Rh
6 18
direct
0.333 0.667 0.542
0.667 0.333 0.458
0.667 0.333 0.042
0.333 0.667 0.958
0.333 0.667 0.750
0.667 0.333 0.250
0.167 0.833 0.127
0.666 0.833 0.127
0.167 0.334 0.127
0.833 0.167 0.873
0.334 0.167 0.873
0.833 0.666 0.873
0.833 0.167 0.627
0.334 0.167 0.627
0.833 0.666 0.627
0.167 0.833 0.373
0.666 0.833 0.373
0.167 0.334 0.373
0.333 0.667 0.250
0.667 0.333 0.750
0.000 0.000 0.250
0.000 0.000 0.750
0.000 0.000 0.000
0.000 0.000 0.500
```

=====

Density functional theory data (GGA-PBEsol) for crystalline RbOs3S at its relaxed geometry.

Properties
The electronic total energy is -33.98 eV for the cell shown. Its density of states at the Fermi level is 1.47 states/eV/atom.

Geometry as POSCAR:
```
RbOs3S
1.0
4.470 0.000 0.000
0.000 4.470 0.000
0.000 0.000 4.470
S Os Rb
1 3 1
direct
0.000 0.000 0.000
0.000 0.500 0.000
0.000 0.000 0.500
0.500 0.000 0.000
0.500 0.500 0.500
```

=====

Density functional theory data (GGA-PBEsol) for crystalline InRe2Sb at its relaxed geometry.

Properties
The electronic total energy is -30.73 eV for the cell shown. Its density of states at the Fermi level is 0.79 states/eV/atom. The energy above the most stable polymorph in this dataset comes out at 0.240 eV per atom.

Geometry as POSCAR:
```
InRe2Sb
1.0
-0.819 -1.958 -2.298
3.054 -3.567 1.950
-4.484 1.243 2.668
In Re Sb
1 2 1
direct
0.000 0.500 0.000
0.765 0.765 0.530
0.235 0.235 0.470
0.500 0.000 0.000
```

=====

Density functional theory data (GGA-PBEsol) for crystalline HgSI2 at its relaxed geometry.

Properties
The electronic total energy is -6.45 eV for the cell shown. Its density of states at the Fermi level is 0.98 states/eV/atom.

Geometry as POSCAR:
```
HgSI2
1.0
-1.301 -0.418 5.042
3.524 -1.666 3.477
1.995 3.329 3.497
I S Hg
2 1 1
direct
0.250 0.250 0.250
0.750 0.750 0.750
0.000 0.000 0.000
0.500 0.500 0.500
```

=====

Density functional theory data (GGA-PBEsol) for crystalline LiPbSe2 at its relaxed geometry.

Properties
The electronic total energy is -16.05 eV for the cell shown. Its density of states at the Fermi level is 0.42 states/eV/atom.

Geometry as POSCAR:
```
LiPbSe2
1.0
-3.263 -2.603 -0.253
2.084 -2.828 2.222
-2.042 2.112 4.602
Pb Se Li
1 2 1
direct
0.000 0.180 0.500
0.000 0.047 0.000
0.500 0.637 0.500
0.500 0.637 0.000
```

=====

Density functional theory data (GGA-PBEsol) for crystalline Ba2OsPt at its relaxed geometry.

Properties
The electronic total energy is -22.04 eV for the cell shown. Its density of states at the Fermi level is 1.53 states/eV/atom. The energy above the most stable polymorph in this dataset comes out at 0.000 eV per atom. As for the formation energy: 0.36 eV/atom.

Geometry as POSCAR:
```
Ba2OsPt
1.0
-1.670 2.171 2.318
-1.377 -2.855 1.682
7.393 -0.276 5.583
Os Ba Pt
1 2 1
direct
0.000 0.000 0.593
0.000 0.000 0.906
0.500 0.500 0.338
0.500 0.500 0.663
```

=====

Density functional theory data (GGA-PBEsol) for crystalline Li2InRh at its relaxed geometry.

Properties
The electronic total energy is -15.70 eV for the cell shown. Its density of states at the Fermi level is 0.41 states/eV/atom. As for the formation energy: -0.16 eV/atom.

Geometry as POSCAR:
```
Li2InRh
1.0
3.243 0.000 0.000
0.000 3.243 0.000
0.000 0.000 5.558
In Li Rh
1 2 1
direct
0.500 0.500 0.500
0.000 0.000 0.787
0.000 0.000 0.213
0.500 0.500 0.000
```

=====

Density functional theory data (GGA-PBEsol) for crystalline MgAg2P2 at its relaxed geometry.

Properties
The electronic total energy is -19.77 eV for the cell shown. Its density of states at the Fermi level is 0.34 states/eV/atom. As for the formation energy: 0.03 eV/atom.

Geometry as POSCAR:
```
MgAg2P2
1.0
-3.733 -1.284 1.253
-0.546 -1.942 -3.617
4.299 -2.716 3.181
P Mg Ag
2 1 2
direct
0.395 0.395 0.790
0.605 0.605 0.210
0.000 0.000 0.000
0.250 0.750 0.500
0.750 0.250 0.500
```

=====

Density functional theory data (GGA-PBEsol) for crystalline BaAl2Ga2 at its relaxed geometry.

Properties
The electronic total energy is -19.00 eV for the cell shown. Its density of states at the Fermi level is 0.24 states/eV/atom. As for the formation energy: -0.40 eV/atom.

Geometry as POSCAR:
```
BaAl2Ga2
1.0
-2.120 2.145 3.265
0.374 -3.586 2.599
5.715 2.606 -1.027
Ba Ga Al
1 2 2
direct
0.000 0.000 0.000
0.618 0.618 0.237
0.382 0.382 0.763
0.250 0.750 0.500
0.750 0.250 0.500
```